Record 1
An optimized crystal structure of Ce5PmSi2. Source: Alexandria, functional PBE.

Lattice parameters (Å, degrees): 4.1901 7.4388 7.4388 80.74 73.64 73.64
Site moments in Bohr magnetons follow the coordinates.
Positions (direct):
Pm (0.0000, 0.0000, 0.0000)  0.02
Ce (0.6677, 0.1350, 0.5296)  0.49
Ce (0.3323, 0.4704, 0.8650)  0.49
Ce (0.3323, 0.8650, 0.4704)  0.49
Ce (0.0000, 0.5000, 0.5000)  0.68
Ce (0.6677, 0.5296, 0.1350)  0.49
Si (0.2882, 0.2118, 0.2118)  -0.01
Si (0.7118, 0.7882, 0.7882)  -0.01

## Properties
ΔE_f (raw) (eV/atom): -0.27

---

Record 2
An optimized crystal structure of In3NiIr. Source: Alexandria, functional PBE.

Lattice parameters (Å, degrees): 5.1125 5.1125 5.1125 90.00 90.00 90.00
Positions (direct):
Ni (0.5000, 0.5000, 0.5000)
In (0.0000, 0.5000, 0.0000)
In (0.0000, 0.0000, 0.5000)
In (0.5000, 0.0000, 0.0000)
Ir (0.0000, 0.0000, 0.0000)

## Properties
Final energy (eV/cell): -20.4

---

Record 3
An optimized crystal structure of CoSi2P. Source: Alexandria, functional PBE.

Lattice parameters (Å, degrees): 4.1691 4.1691 4.1691 60.00 60.00 60.00
Site moments in Bohr magnetons follow the coordinates.
Positions (direct):
Si (0.7500, 0.7500, 0.7500)  0.01
Si (0.2500, 0.2500, 0.2500)  0.01
P (0.0000, 0.0000, 0.0000)  0.06
Co (0.5000, 0.5000, 0.5000)  0.80

## Properties
ΔE_f (raw) (eV/atom): 0.39

---

Record 4
An optimized crystal structure of LiSmZn10. Source: Alexandria, functional PBE.

Lattice parameters (Å, degrees): 4.3336 5.1134 9.2355 90.00 90.00 90.00
Positions (direct):
Zn (0.5000, 0.7436, 0.2579)
Zn (0.0000, 0.5000, 0.8479)
Zn (0.5000, 0.2564, 0.7421)
Zn (0.5000, 0.2564, 0.2579)
Zn (0.0000, 0.5000, 0.1521)
Zn (0.5000, 0.7436, 0.7421)
Zn (0.0000, 0.0000, 0.3054)
Zn (0.5000, 0.0000, 0.5000)
Zn (0.0000, 0.0000, 0.6946)
Zn (0.5000, 0.5000, 0.0000)
Sm (0.0000, 0.5000, 0.5000)
Li (0.0000, 0.0000, 0.0000)

## Properties
Final energy (eV/cell): -21.5

---

- What is the formula in the first record?
  Ce5PmSi2